LaLuIr2: relaxed, PBE.

Unit cell a=3.3756 b=3.3756 c=7.3197 alpha=90.00 beta=90.00 gamma=90.00
Closest atoms and distances in Å follow each position.
Atoms (fractional coordinates):
La 0.0000 0.0000 0.0000  8 Ir 3.12, 4 La 3.38
Lu 0.0000 0.0000 0.5000  8 Ir 2.90
Ir 0.5000 0.5000 0.2743  4 Lu 2.90, 4 La 3.12
Ir 0.5000 0.5000 0.7257  4 Lu 2.90, 4 La 3.12

Calculated values
* DFT formation energy: -728.5 meV per atom
* total magnetization: 0.0 μB per formula unit